This record from Alexandria via LeMat-Bulk describes an optimized crystal structure of LiHo3Tm3Se8. The functional is PBE-GGA.

The space group is R-3m (No. 166, hexagonal axes) and the conventional cell measures 8.0233, 8.0233 and 19.6827 Å, with angles of 90.00, 90.00 and 120.00 degrees. The distinct sites, in fractional coordinates, are Li at (0.0000, 0.0000, 0.0000), Ho at (0.0000, 0.5000, 0.5000), Tm at (0.0000, 0.5000, 0.0000), Se at (0.0000, 0.0000, 0.2510) and Se at (0.0015, 0.5008, 0.7485).

The raw formation energy comes out at -26.449 eV/f.u. As for the mass density: 7.45 g/cm3.